No. 1
The following is a DFT calculation (GGA-PBE) of a relaxed structure of Cs2InGe.

## Properties
- ΔH_f (0 K) (eV/atom) = -0.0507
- size of the total moment (μB/cell) = 0.0
- relative energy among the computed polymorphs (meV per atom) = 0.0
- symmetry = C2/m
- total DFT energy (no corrections) (eV per atom) = -2.32

Lattice parameters (Å, degrees): 6.636 5.322 8.491 128.49 112.99 90.04
Fractional positions:
Cs 0.167 0.131 0.334
Cs 0.833 0.887 0.666
In 0.500 0.509 0.000
Ge 0.500 0.009 0.000

No. 2
The following is a DFT calculation (GGA-PBE) of a relaxed structure of CsInGe2.

## Properties
- ΔH_f (0 K) (eV/atom) = 0.0055
- size of the total moment (μB/cell) = 0.0
- symmetry = P4/mmm
- total DFT energy (no corrections) (eV per atom) = -3.20

Lattice parameters (Å, degrees): 3.887 3.887 7.975 90.00 90.00 90.00
Fractional positions:
Cs 0.500 0.500 0.500
Ge 0.000 0.000 0.840
Ge 0.000 0.000 0.160
In 0.500 0.500 0.000

No. 3
The following is a DFT calculation (GGA-PBE) of a relaxed structure of Cs2In2Ge.

## Properties
- ΔH_f (0 K) (eV/atom) = -0.0746
- size of the total moment (μB/cell) = 0.0
- relative energy among the computed polymorphs (meV per atom) = 0.0
- symmetry = C2/c
- total DFT energy (no corrections) (eV per atom) = -2.43

Lattice parameters (Å, degrees): 8.473 7.215 9.091 86.92 90.00 125.96
Fractional positions:
Cs 0.622 0.366 0.202
Cs 0.256 0.634 0.298
Cs 0.378 0.634 0.798
Cs 0.744 0.366 0.702
In 0.772 0.891 0.476
In 0.881 0.109 0.024
In 0.228 0.109 0.524
In 0.119 0.891 0.976
Ge 0.045 0.000 0.250
Ge 0.955 0.000 0.750

No. 4
The following is a DFT calculation (GGA-PBE) of a relaxed structure of Cs3In4Ge2.

## Properties
- ΔH_f (0 K) (eV/atom) = -0.0885
- size of the total moment (μB/cell) = 0.0
- symmetry = C2/c
- total DFT energy (no corrections) (eV per atom) = -2.62

Lattice parameters (Å, degrees): 7.382 10.614 10.614 60.51 73.11 73.11
Fractional positions:
Cs 0.882 0.990 0.215
Cs 0.618 0.785 0.010
Cs 0.118 0.010 0.785
Cs 0.382 0.215 0.990
Cs 0.250 0.478 0.522
Cs 0.750 0.522 0.478
In 0.358 0.886 0.389
In 0.142 0.611 0.114
In 0.642 0.114 0.611
In 0.858 0.389 0.886
In 0.036 0.171 0.398
In 0.464 0.602 0.829
In 0.964 0.829 0.602
In 0.536 0.398 0.171
Ge 0.418 0.144 0.412
Ge 0.082 0.588 0.856
Ge 0.582 0.856 0.588
Ge 0.918 0.412 0.144

No. 5
The following is a DFT calculation (GGA-PBE) of a relaxed structure of CsInGe2.

## Properties
- ΔH_f (0 K) (eV/atom) = 0.1414
- size of the total moment (μB/cell) = 0.0
- symmetry = I4_1/amd
- total DFT energy (no corrections) (eV per atom) = -3.07

Lattice parameters (Å, degrees): 5.556 5.556 10.379 74.47 74.47 90.00
Fractional positions:
Cs 0.000 0.000 0.000
Cs 0.750 0.250 0.500
Ge 0.375 0.125 0.250
Ge 0.375 0.625 0.250
Ge 0.375 0.625 0.750
Ge 0.875 0.625 0.750
In 0.500 0.500 0.000
In 0.250 0.750 0.500

No. 6
The following is a DFT calculation (GGA-PBE) of a relaxed structure of Cs2InGe.

## Properties
- ΔH_f (0 K) (eV/atom) = 0.3218
- size of the total moment (μB/cell) = 1.0
- relative energy among the computed polymorphs (meV per atom) = 372.5
- symmetry = Fm-3m
- total DFT energy (no corrections) (eV per atom) = -1.94

Lattice parameters (Å, degrees): 6.327 6.327 6.327 60.00 60.00 60.00
Site moments in Bohr magnetons follow the coordinates.
Fractional positions:
Cs 0.250 0.250 0.250  0.02
Cs 0.750 0.750 0.750  0.02
Ge 0.000 0.000 0.000  0.44
In 0.500 0.500 0.500  -0.08

No. 7
The following is a DFT calculation (GGA-PBE) of a relaxed structure of Cs2In2Ge.

## Properties
- ΔH_f (0 K) (eV/atom) = 0.0484
- size of the total moment (μB/cell) = 0.0
- relative energy among the computed polymorphs (meV per atom) = 122.9
- symmetry = P4/mbm
- total DFT energy (no corrections) (eV per atom) = -2.31

Lattice parameters (Å, degrees): 7.626 7.626 6.574 90.00 90.00 90.00
Fractional positions:
Cs 0.183 0.683 0.500
Cs 0.683 0.817 0.500
Cs 0.817 0.317 0.500
Cs 0.317 0.183 0.500
Ge 0.000 0.000 0.000
Ge 0.500 0.500 0.000
In 0.361 0.861 0.000
In 0.861 0.639 0.000
In 0.639 0.139 0.000
In 0.139 0.361 0.000

No. 8
The following is a DFT calculation (GGA-PBE) of a relaxed structure of CsIn2Ge.

## Properties
- ΔH_f (0 K) (eV/atom) = 0.0792
- size of the total moment (μB/cell) = 0.0
- symmetry = I4_1/amd
- total DFT energy (no corrections) (eV per atom) = -2.66

Lattice parameters (Å, degrees): 6.015 6.015 10.298 73.02 73.02 90.00
Fractional positions:
Cs 0.000 0.000 0.000
Cs 0.750 0.250 0.500
Ge 0.500 0.500 0.000
Ge 0.250 0.750 0.500
In 0.374 0.125 0.250
In 0.376 0.625 0.250
In 0.375 0.626 0.750
In 0.875 0.624 0.750

No. 9
The following is a DFT calculation (GGA-PBE) of a relaxed structure of CsIn2Ge.

## Properties
- ΔH_f (0 K) (eV/atom) = -0.0370
- size of the total moment (μB/cell) = 0.0
- symmetry = P4/nmm
- total DFT energy (no corrections) (eV per atom) = -2.77

Lattice parameters (Å, degrees): 4.422 4.422 15.050 90.00 90.00 90.00
Fractional positions:
Cs 0.500 0.000 0.249
Cs 0.000 0.500 0.751
In 0.500 0.000 0.973
In 0.000 0.500 0.027
In 0.000 0.000 0.500
In 0.500 0.500 0.500
Ge 0.500 0.000 0.620
Ge 0.000 0.500 0.380

No. 10
The following is a DFT calculation (GGA-PBE) of a relaxed structure of CsIn2Ge.

## Properties
- ΔH_f (0 K) (eV/atom) = -0.0314
- size of the total moment (μB/cell) = 0.0
- symmetry = R-3m
- total DFT energy (no corrections) (eV per atom) = -2.77

Lattice parameters (Å, degrees): 4.610 4.610 8.441 74.15 74.15 60.00
Fractional positions:
Cs 0.500 0.500 0.500
Ge 0.000 0.000 0.000
In 0.284 0.284 0.147
In 0.716 0.716 0.853

No. 11
The following is a DFT calculation (GGA-PBE) of a relaxed structure of Cs3InGe.

## Properties
- ΔH_f (0 K) (eV/atom) = 0.0020
- size of the total moment (μB/cell) = 0.8
- symmetry = C2/m
- total DFT energy (no corrections) (eV per atom) = -1.98

Lattice parameters (Å, degrees): 9.065 9.065 9.168 111.21 118.31 98.89
Fractional positions:
Cs 0.859 0.038 0.265
Cs 0.227 0.406 0.265
Cs 0.773 0.594 0.735
Cs 0.706 0.441 0.148
Cs 0.141 0.962 0.735
Cs 0.294 0.559 0.852
In 0.654 0.054 0.708
In 0.346 0.946 0.292
Ge 0.595 0.793 0.388
Ge 0.405 0.207 0.612

No. 12
The following is a DFT calculation (GGA-PBE) of a relaxed structure of CsInGe2.

## Properties
- ΔH_f (0 K) (eV/atom) = 0.0944
- size of the total moment (μB/cell) = 0.0
- symmetry = R-3m
- total DFT energy (no corrections) (eV per atom) = -3.11

Lattice parameters (Å, degrees): 4.760 4.760 7.514 71.54 71.54 60.00
Fractional positions:
Cs 0.000 0.000 0.000
Ge 0.796 0.796 0.612
Ge 0.204 0.204 0.388
In 0.500 0.500 0.500